Bi2Pd6Pt | PBE | optimized geometry

Computed properties:
ΔE to the lowest computed polymorph	0.000	eV/f.u.
energy of formation	-195	meV per atom
calculated total energy	-5.19	eV per atom
density	13.13	Mg/m³
total magnetic moment	0.000	μB/atom
DOS(E_F)	5.80	states/eV per cell

Lattice parameters (Å, degrees): 4.9328 4.9328 8.6553 103.39 103.39 51.02
With the nearest neighbours (Å) after each atom.
Fractional coordinates of all 9 atoms:
Bi1 0.1707 0.1707 0.2302  10 Pd 2.81-2.98, 2 Pt 3.04
Bi2 0.8293 0.8293 0.7698  10 Pd 2.81-2.98, 2 Pt 3.04
Pd1 0.1601 0.1601 0.5515  9 Pd 2.76-2.94, 3 Bi 2.81-2.98
Pd2 0.1665 0.1665 0.8921  3 Pt 2.87-2.88, 4 Bi 2.92, 5 Pd 2.93-3.02
Pd3 0.4994 0.4994 0.6644  3 Bi 2.84-2.89, 8 Pd 2.85-3.02, 1 Pt 2.90
Pd4 0.5006 0.5006 0.3356  3 Bi 2.84-2.89, 8 Pd 2.85-3.02, 1 Pt 2.90
Pd5 0.8335 0.8335 0.1079  3 Pt 2.87-2.88, 4 Bi 2.92, 5 Pd 2.93-3.02
Pd6 0.8399 0.8399 0.4485  9 Pd 2.76-2.94, 3 Bi 2.81-2.98
Pt1 0.5000 0.5000 0.0000  8 Pd 2.87-2.90, 4 Bi 3.04